Entry 1:
Here is crystalline LaGdSi2Br2 at its relaxed geometry from the Open Quantum Materials Database. Energies are from GGA-PBE.

Properties
total energy = -5.24 eV per atom
spin magnetization = 0.00 μB per formula unit
space-group type = P3m1 (156)

The structure in POSCAR format:
```
LaGdSi2Br2
1.0
4.117 0.000 0.000
-2.059 3.566 0.000
0.000 0.000 11.400
Br Si La Gd
2 2 1 1
Direct
0.667 0.333 0.334
0.333 0.667 0.653
0.667 0.333 0.999
0.333 0.667 0.014
0.000 0.000 0.824
0.000 0.000 0.176
```


Entry 2:
Here is crystalline PrGd3Br2N2 at its relaxed geometry from the Open Quantum Materials Database. Energies are from GGA-PBE.

Properties
total energy = -6.28 eV per atom
spin magnetization = 0.00 μB per formula unit
space-group type = P3m1 (156)

The structure in POSCAR format:
```
PrGd3Br2N2
1.0
-2.289 -1.201 -2.562
-0.998 -0.050 3.500
-5.406 13.193 -1.352
Gd Br Pr N
3 2 1 2
Direct
0.000 0.000 0.415
0.667 0.333 0.589
0.667 0.333 0.908
0.000 0.000 0.747
0.667 0.333 0.261
0.000 0.000 0.093
0.333 0.667 0.502
0.333 0.667 0.984
```


Entry 3:
Here is crystalline PrGdBrN at its relaxed geometry from the Open Quantum Materials Database. Energies are from GGA-PBE.

Properties
spin magnetization = 0.00 μB per formula unit
space-group type = P-3m1 (164)
relative energy among the computed polymorphs = 16 meV per atom

The structure in POSCAR format:
```
PrGdBrN
1.0
3.672 0.000 0.000
-1.836 3.180 0.000
0.000 0.000 14.486
Pr Br N Gd
2 2 2 2
Direct
0.667 0.333 0.594
0.333 0.667 0.406
0.667 0.333 0.238
0.333 0.667 0.762
0.000 0.000 0.000
0.000 0.000 0.500
0.333 0.667 0.086
0.667 0.333 0.914
```